# 1
First-principles (GGA-PBE) data for a relaxed ZnGaPO2 crystal, as listed in Alexandria.

As for the formation energy without anion corrections: -21 kJ/mol of atoms. The value obtained for the total energy is -4.15 eV/atom. Its excess energy over the best structure of this formula in the dataset is 0.00 eV/f.u. The spin magnetization is 1.73 Bohr magnetons per cell.

The space group is P4/mmm (No. 123) and the conventional cell measures 3.697, 3.697 and 5.605 Å, with angles of 90.00, 90.00 and 90.00 degrees. Symmetry generates all atoms from Zn at (0.000, 0.000, 0.000), Ga at (0.500, 0.500, 0.500), P at (0.500, 0.500, 0.000) and O at (0.000, 0.500, 0.500).

---

# 2
First-principles (GGA-PBE) data for a relaxed Nb5Ir4Ru2 crystal, as listed in Alexandria.

The value obtained for the total energy is -9.74 eV/atom. The value obtained for the energy of formation from the pure elements is -0.2587 eV per atom. The spin magnetization is 0.00 Bohr magnetons per cell.

The space group is Pbam (No. 55) and the conventional cell measures 6.293, 15.081 and 3.814 Å, with angles of 90.00, 90.00 and 90.00 degrees. Symmetry generates all atoms from Nb at (0.000, 0.000, 0.000), Nb at (0.114, 0.413, 0.000), Nb at (0.205, 0.195, 0.000), Ir at (0.098, 0.873, 0.500), Ir at (0.199, 0.549, 0.500) and Ru at (0.007, 0.292, 0.500).

---

What is the formula in the second record?
Nb5Ir4Ru2

---

What is the formula in the second record?
Nb5Ir4Ru2

---

Look up the spin magnetization of the first one.
1.73 Bohr magnetons per cell